A plane-wave DFT calculation with GGA-PBE was carried out for an optimized crystal structure of LaTi2Hg2.

a b c (Å): 6.717 6.717 6.717
angles (deg): 140.83 140.83 56.59
Positions (direct):
La (0.000, 0.000, 0.000)
Ti (0.395, 0.395, 0.000)
Ti (0.605, 0.605, 0.000)
Hg (0.250, 0.750, 0.500)
Hg (0.750, 0.250, 0.500)

Calculated values
Total energy in eV/atom: -4.17
Symmetry: I4/mmm, No. 139
Offset from the most stable computed form in meV per atom: 140



A plane-wave DFT calculation with GGA-PBE was carried out for an optimized crystal structure of La6Pr2Ho.

a b c (Å): 10.296 10.296 3.703
angles (deg): 90.00 90.00 124.25
Positions (direct):
La (0.008, 0.335, 0.000)
La (0.181, 0.181, 0.500)
La (0.335, 0.008, 0.000)
La (0.665, 0.992, 0.000)
La (0.819, 0.819, 0.500)
La (0.992, 0.665, 0.000)
Pr (0.328, 0.672, 0.500)
Pr (0.672, 0.328, 0.500)
Ho (0.500, 0.500, 0.000)

Calculated values
Total energy in eV/atom: -4.74
Symmetry: Cmmm, No. 65



A plane-wave DFT calculation with GGA-PBE was carried out for an optimized crystal structure of PaNb2Cr.

a b c (Å): 3.306 3.306 6.664
angles (deg): 90.00 90.00 90.00
Positions (direct):
Pa (0.000, 0.000, 0.000)
Nb (0.500, 0.500, 0.274)
Nb (0.500, 0.500, 0.726)
Cr (0.000, 0.000, 0.500)

Calculated values
Total energy in eV/atom: -9.58
Symmetry: P4/mmm, No. 123
Offset from the most stable computed form in meV per atom: 93



A plane-wave DFT calculation with GGA-PBE was carried out for an optimized crystal structure of NdHoCdIn.

a b c (Å): 5.380 5.380 5.380
angles (deg): 60.00 60.00 60.00
Positions (direct):
Nd (0.000, 0.000, 0.000)
Ho (0.500, 0.500, 0.500)
Cd (0.750, 0.750, 0.750)
In (0.250, 0.250, 0.250)

Calculated values
Total energy in eV/atom: -3.65
Symmetry: F-43m, No. 216



A plane-wave DFT calculation with GGA-PBE was carried out for an optimized crystal structure of LaMg2Pd.

a b c (Å): 5.699 5.699 8.370
angles (deg): 90.00 90.00 135.40
Positions (direct):
La (0.061, 0.939, 0.750)
La (0.939, 0.061, 0.250)
Mg (0.347, 0.653, 0.554)
Mg (0.347, 0.653, 0.946)
Mg (0.653, 0.347, 0.054)
Mg (0.653, 0.347, 0.446)
Pd (0.224, 0.776, 0.250)
Pd (0.776, 0.224, 0.750)

Calculated values
Total energy in eV/atom: -3.87
Symmetry: Cmcm, No. 63



A plane-wave DFT calculation with GGA-PBE was carried out for an optimized crystal structure of YBeRe2As.

a b c (Å): 4.992 4.992 5.158
angles (deg): 90.00 90.00 90.00
Positions (direct):
Y (0.000, 0.000, 0.000)
Be (0.500, 0.500, 0.500)
Re (0.000, 0.500, 0.000)
Re (0.500, 0.000, 0.000)
As (0.000, 0.000, 0.500)

Calculated values
Total energy in eV/atom: -5.13
Symmetry: P4/mmm, No. 123



no.,DFT formation energy (eV per atom)
1,0.098
2,0.114
3,0.233
4,-0.404
5,-0.546
6,2.818